! CeMg2NpN4 GGA-PBE relaxed; values from VASP
! Symmetry: P2/m
! ρ: 7.435 g cm⁻³
! Formation energy from raw total energies: -1.019 eV/atom
! D(E_F): 6.8 states/eV per cell
&SYSTEM
  ibrav = 0, nat = 8, ntyp = 4
/
ATOMIC_SPECIES
Ce 140.12 Ce.upf
Mg 24.30 Mg.upf
Np 237.00 Np.upf
N 14.01 N.upf
CELL_PARAMETERS angstrom
5.618 0.000 0.000
0.000 3.434 0.000
-2.114 0.000 5.576
ATOMIC_POSITIONS angstrom
Ce 0.000 0.000 0.000
Mg 1.752 0.000 2.788
Mg 2.809 1.717 0.000
Np -1.057 1.717 2.788
N 0.794 1.717 1.480
N -0.176 0.000 4.122
N 3.681 0.000 1.454
N 2.710 1.717 4.097